[1]
The following is a PBE-GGA calculation of a geometry-optimized NpSn2Pd structure, from the Alexandria database.

Structure (CIF):
```
data_NpSn2Pd
_space_group_name_H-M_alt 'F m -3 m'
_space_group_IT_number 225
_space_group_name_Hall '-F 4 2 3'
_cell_length_a 7.1429
_cell_length_b 7.1429
_cell_length_c 7.1429
_cell_angle_alpha 90.00
_cell_angle_beta 90.00
_cell_angle_gamma 90.00
loop_
_atom_site_label
_atom_site_fract_x
_atom_site_fract_y
_atom_site_fract_z
Np1 0.0000 0.0000 0.0000
Sn1 0.2500 0.2500 0.2500
Pd1 0.0000 0.0000 0.5000
```

Results
* energy of formation: -22 kJ/mol of formula units



[2]
The following is a PBE-GGA calculation of a geometry-optimized NpSn2Pd structure, from the Alexandria database.

Structure (CIF):
```
data_NpSn2Pd
_space_group_name_H-M_alt 'R -3 m'
_space_group_IT_number 166
_space_group_name_Hall '-R 3 2"'
_cell_length_a 3.1562
_cell_length_b 3.1562
_cell_length_c 32.1361
_cell_angle_alpha 90.00
_cell_angle_beta 90.00
_cell_angle_gamma 120.00
loop_
_atom_site_label
_atom_site_fract_x
_atom_site_fract_y
_atom_site_fract_z
Np1 0.0000 0.0000 0.0000
Sn1 0.0000 0.0000 0.0999
Pd1 0.0000 0.0000 0.5000
```

Results
* energy of formation: 30 kJ/mol of formula units



[3]
The following is a PBE-GGA calculation of a geometry-optimized NpSnPd4 structure, from the Alexandria database.

Structure (CIF):
```
data_NpSnPd4
_space_group_name_H-M_alt 'F -4 3 m'
_space_group_IT_number 216
_space_group_name_Hall 'F -4 2 3'
_cell_length_a 7.6293
_cell_length_b 7.6293
_cell_length_c 7.6293
_cell_angle_alpha 90.00
_cell_angle_beta 90.00
_cell_angle_gamma 90.00
loop_
_atom_site_label
_atom_site_fract_x
_atom_site_fract_y
_atom_site_fract_z
Np1 0.0000 0.0000 0.0000
Sn1 0.2500 0.2500 0.7500
Pd1 0.1250 0.1250 0.3750
```

Results
* energy of formation: -200 kJ/mol of formula units



[4]
The following is a PBE-GGA calculation of a geometry-optimized NpSnPd14 structure, from the Alexandria database.

Structure (CIF):
```
data_NpSnPd14
_space_group_name_H-M_alt 'P 4/m m m'
_space_group_IT_number 123
_space_group_name_Hall '-P 4 2'
_cell_length_a 5.7750
_cell_length_b 5.7750
_cell_length_c 7.7658
_cell_angle_alpha 90.00
_cell_angle_beta 90.00
_cell_angle_gamma 90.00
loop_
_atom_site_label
_atom_site_fract_x
_atom_site_fract_y
_atom_site_fract_z
Np1 0.0000 0.0000 0.0000
Sn1 0.5000 0.5000 0.0000
Pd1 0.0000 0.0000 0.5000
Pd2 0.0000 0.5000 0.0000
Pd3 0.0000 0.5000 0.5000
Pd4 0.2499 0.2499 0.2513
Pd5 0.5000 0.5000 0.5000
```

Results
* energy of formation: -387 kJ/mol of formula units



[5]
The following is a PBE-GGA calculation of a geometry-optimized NpSnPd structure, from the Alexandria database.

Structure (CIF):
```
data_NpSnPd
_space_group_name_H-M_alt 'P -6 m 2'
_space_group_IT_number 187
_space_group_name_Hall 'P -6 2'
_cell_length_a 4.8500
_cell_length_b 4.8500
_cell_length_c 3.1713
_cell_angle_alpha 90.00
_cell_angle_beta 90.00
_cell_angle_gamma 120.00
loop_
_atom_site_label
_atom_site_fract_x
_atom_site_fract_y
_atom_site_fract_z
Np1 0.0000 0.0000 0.0000
Sn1 0.3333 0.6667 0.5000
Pd1 0.6667 0.3333 0.5000
```

Results
* energy of formation: -85 kJ/mol of formula units



[6]
The following is a PBE-GGA calculation of a geometry-optimized Np2Sn8Pd structure, from the Alexandria database.

Structure (CIF):
```
data_Np2Sn8Pd
_space_group_name_H-M_alt 'P 4/m m m'
_space_group_IT_number 123
_space_group_name_Hall '-P 4 2'
_cell_length_a 4.7041
_cell_length_b 4.7041
_cell_length_c 12.3577
_cell_angle_alpha 90.00
_cell_angle_beta 90.00
_cell_angle_gamma 90.00
loop_
_atom_site_label
_atom_site_fract_x
_atom_site_fract_y
_atom_site_fract_z
Np1 0.0000 0.0000 0.1857
Sn1 0.0000 0.5000 0.0000
Sn2 0.0000 0.5000 0.3723
Sn3 0.5000 0.5000 0.1875
Pd1 0.0000 0.0000 0.5000
```

Results
* energy of formation: -157 kJ/mol of formula units